This record from the Alexandria database describes a relaxed Pa2Ga2Pd crystal. The functional is PBE.

Cell lengths 4.571, 5.515, 9.417 Å; angles 81.14, 75.95, 65.52 degrees
Sites, in units of the cell vectors:
1 Pa 0.491 0.691 0.328
2 Pa 0.509 0.309 0.672
3 Pa 0.655 0.782 0.909
4 Pa 0.345 0.218 0.091
5 Pd 0.775 0.105 0.345
6 Pd 0.225 0.895 0.655
7 Ga 0.035 0.810 0.121
8 Ga 0.858 0.713 0.571
9 Ga 0.965 0.190 0.879
10 Ga 0.142 0.287 0.429

Summary:
- M_tot: 0.00 μB/f.u.
- E above lowest polymorph: 0 meV/atom
- E_form: -0.436 eV per atom
- E_tot: -0.238 Ha/atom